# 1
The following is a GGA-PBE calculation of crystalline LuTaBeFe at its relaxed geometry, from the Open Quantum Materials Database.

a b c (Å): 4.394 4.394 4.394
angles (deg): 60.00 60.00 60.00
Positions (direct):
Lu1 0.500 0.500 0.500
Be1 0.750 0.750 0.750
Fe1 0.000 0.000 0.000
Ta1 0.250 0.250 0.250

Calculated values
Symmetry ... F-43m (216)
Polymorph energy (0 for the lowest one) ... 193 meV per atom

***

# 2
The following is a GGA-PBE calculation of crystalline BaScAgTeS2 at its relaxed geometry, from the Open Quantum Materials Database.

a b c (Å): 7.689 7.689 10.769
angles (deg): 90.00 90.00 149.26
Positions (direct):
Te1 0.601 0.399 0.250
Ba1 0.287 0.713 0.250
Sc1 0.500 0.500 0.000
Te2 0.399 0.601 0.750
Ba2 0.713 0.287 0.750
Ag1 0.022 0.978 0.750
Sc2 0.500 0.500 0.500
S1 0.887 0.113 0.445
S2 0.113 0.887 0.945
Ag2 0.978 0.022 0.250
S3 0.113 0.887 0.555
S4 0.887 0.113 0.055

Calculated values
Symmetry ... Cmcm (63)
VASP energy ... -5.06 eV per atom

***

# 3
The following is a GGA-PBE calculation of crystalline NaPdW at its relaxed geometry, from the Open Quantum Materials Database.

a b c (Å): 4.339 4.339 4.339
angles (deg): 60.00 60.00 60.00
Positions (direct):
Pd1 0.000 0.000 0.000
W1 0.750 0.750 0.750
Na1 0.250 0.250 0.250

Calculated values
Symmetry ... F-43m (216)
Polymorph energy (0 for the lowest one) ... 0 meV per atom

***

# 4
The following is a GGA-PBE calculation of crystalline TbGdNi at its relaxed geometry, from the Open Quantum Materials Database.

a b c (Å): 4.760 4.760 4.760
angles (deg): 60.00 60.00 60.00
Positions (direct):
Tb1 0.750 0.750 0.750
Ni1 0.000 0.000 0.000
Gd1 0.250 0.250 0.250

Calculated values
Symmetry ... F-43m (216)
Polymorph energy (0 for the lowest one) ... 99 meV per atom

***

# 5
The following is a GGA-PBE calculation of crystalline LaTlPd2 at its relaxed geometry, from the Open Quantum Materials Database.

a b c (Å): 5.003 5.003 5.003
angles (deg): 60.00 60.00 60.00
Positions (direct):
Tl1 0.500 0.500 0.500
Pd1 0.000 0.000 0.000
La1 0.250 0.250 0.250
Pd2 0.750 0.750 0.750

Calculated values
Symmetry ... F-43m (216)
VASP energy ... -4.82 eV per atom

***

# 6
The following is a GGA-PBE calculation of crystalline HfBPt2 at its relaxed geometry, from the Open Quantum Materials Database.

a b c (Å): 4.405 4.405 4.405
angles (deg): 60.00 60.00 60.00
Positions (direct):
Pt1 0.000 0.000 0.000
Hf1 0.250 0.250 0.250
Pt2 0.750 0.750 0.750
B1 0.500 0.500 0.500

Calculated values
Symmetry ... F-43m (216)
VASP energy ... -7.28 eV per atom

***

# 7
The following is a GGA-PBE calculation of crystalline BeTeMoPb at its relaxed geometry, from the Open Quantum Materials Database.

a b c (Å): 4.800 4.800 4.800
angles (deg): 60.00 60.00 60.00
Positions (direct):
Be1 0.750 0.750 0.750
Pb1 0.500 0.500 0.500
Mo1 0.250 0.250 0.250
Te1 0.000 0.000 0.000

Calculated values
Symmetry ... F-43m (216)
Polymorph energy (0 for the lowest one) ... 0 meV per atom

***

# 8
The following is a GGA-PBE calculation of crystalline TbB3O6 at its relaxed geometry, from the Open Quantum Materials Database.

a b c (Å): 7.759 8.218 6.063
angles (deg): 90.00 90.05 90.00
Positions (direct):
O1 0.991 0.340 0.443
B1 0.508 0.184 0.618
O2 0.671 0.119 0.662
O3 0.493 0.160 0.058
O4 0.009 0.660 0.557
O5 0.631 0.921 0.359
Tb1 0.750 0.501 0.510
O6 0.171 0.379 0.838
B2 0.492 0.684 0.882
O7 0.671 0.381 0.162
B3 0.492 0.816 0.382
O8 0.507 0.840 0.942
O9 0.009 0.840 0.057
O10 0.829 0.621 0.162
O11 0.493 0.340 0.558
O12 0.369 0.079 0.641
B4 0.250 0.001 0.487
O13 0.329 0.619 0.838
O14 0.991 0.160 0.943
B5 0.750 0.999 0.513
Tb2 0.750 0.999 0.010
B6 0.508 0.316 0.118
B7 0.006 0.184 0.382
O15 0.869 0.077 0.359
B8 0.994 0.684 0.118
O16 0.329 0.881 0.338
O17 0.131 0.577 0.141
B9 0.250 0.499 0.987
O18 0.171 0.121 0.338
O19 0.507 0.660 0.442
O20 0.829 0.879 0.662
O21 0.131 0.923 0.641
Tb3 0.250 0.001 0.990
O22 0.631 0.579 0.859
Tb4 0.250 0.499 0.490
B10 0.006 0.316 0.882
O23 0.369 0.421 0.141
O24 0.869 0.423 0.859
B11 0.994 0.816 0.618
B12 0.750 0.501 0.013

Calculated values
Symmetry ... P2_1/c (14)
Polymorph energy (0 for the lowest one) ... 0 meV per atom

***

# 9
The following is a GGA-PBE calculation of crystalline Cs2TlOsO6 at its relaxed geometry, from the Open Quantum Materials Database.

a b c (Å): 6.159 6.159 6.159
angles (deg): 60.00 60.00 60.00
Positions (direct):
O1 0.215 0.785 0.215
O2 0.785 0.215 0.215
Os1 0.000 0.000 0.000
O3 0.215 0.215 0.785
Tl1 0.500 0.500 0.500
O4 0.785 0.785 0.215
Cs1 0.250 0.250 0.250
O5 0.785 0.215 0.785
Cs2 0.750 0.750 0.750
O6 0.215 0.785 0.785

Calculated values
Symmetry ... Fm-3m (225)
VASP energy ... -5.56 eV per atom

***

# 10
The following is a GGA-PBE calculation of crystalline Cs2HgTeBr6 at its relaxed geometry, from the Open Quantum Materials Database.

a b c (Å): 8.195 8.195 8.195
angles (deg): 60.00 60.00 60.00
Positions (direct):
Br1 0.741 0.741 0.259
Br2 0.259 0.741 0.259
Hg1 0.000 0.000 0.000
Cs1 0.750 0.750 0.750
Br3 0.741 0.259 0.741
Cs2 0.250 0.250 0.250
Br4 0.741 0.259 0.259
Br5 0.259 0.741 0.741
Br6 0.259 0.259 0.741
Te1 0.500 0.500 0.500

Calculated values
Symmetry ... Fm-3m (225)
VASP energy ... -2.47 eV per atom

***

# 11
The following is a GGA-PBE calculation of crystalline CdMo4AsN2 at its relaxed geometry, from the Open Quantum Materials Database.

a b c (Å): 2.987 2.987 14.056
angles (deg): 90.00 90.00 120.00
Positions (direct):
Mo1 0.667 0.333 0.141
As1 0.000 0.000 0.000
N1 0.333 0.667 0.236
Mo2 0.000 0.000 0.326
N2 0.333 0.667 0.764
Mo3 0.667 0.333 0.859
Mo4 0.000 0.000 0.674
Cd1 0.667 0.333 0.500

Calculated values
Symmetry ... P-6m2 (187)
VASP energy ... -8.18 eV per atom

***

# 12
The following is a GGA-PBE calculation of crystalline ZnB2Sb at its relaxed geometry, from the Open Quantum Materials Database.

a b c (Å): 4.390 4.390 4.390
angles (deg): 60.00 60.00 60.00
Positions (direct):
Zn1 0.500 0.500 0.500
B1 0.250 0.250 0.250
B2 0.000 0.000 0.000
Sb1 0.750 0.750 0.750

Calculated values
Symmetry ... F-43m (216)
VASP energy ... -3.03 eV per atom